Record 1
SmSb3 | PBE | optimized geometry

Results
E (eV for the cell shown): -37.81
Magnetic moment (μB per cell): 0.0
ΔE to the lowest computed polymorph (meV per atom): 47

a = 4.0567 Å, b = 10.2312 Å, c = 5.4119 Å
α = 90.00°, β = 90.00°, γ = 90.00°
Last column: nearest neighbours and their distance in Å.
Space group Imm2 (No. 44)
Asymmetric unit:
Sm1 0.0000 0.0000 0.0000 [2 per cell]  10 Sb 3.24-3.46
Sb1 0.0000 0.2621 0.6654 [4 per cell]  7 Sb 3.10-3.45, 3 Sm 3.24-3.29
Sb2 0.0000 0.5000 0.0186 [2 per cell]  6 Sb 3.10-3.45, 4 Sm 3.30-3.46

***

Record 2
Sm8Sb3 | PBE | optimized geometry

Results
E (eV for the cell shown): -161.70
Magnetic moment (μB per cell): 0.0

a = 10.1816 Å, b = 10.1816 Å, c = 12.7377 Å
α = 90.00°, β = 90.00°, γ = 120.00°
Last column: nearest neighbours and their distance in Å.
Space group R-3 (No. 148, hexagonal axes)
Asymmetric unit:
Sm1 0.0000 0.0000 0.1398 [6 per cell]  3 Sb 2.96
Sm2 0.0285 0.7930 0.6127 [18 per cell]  2 Sb 3.08-3.19
Sb1 0.0000 0.5000 0.5000 [9 per cell]  6 Sm 2.96-3.19

***

Record 3
Sm5Sb4 | PBE | optimized geometry

Results
E (eV for the cell shown): -97.35
Magnetic moment (μB per cell): 0.0

a = 9.8633 Å, b = 9.8633 Å, c = 6.2625 Å
α = 90.00°, β = 90.00°, γ = 90.00°
Last column: nearest neighbours and their distance in Å.
Space group I4/m (No. 87)
Asymmetric unit:
Sm1 0.0000 0.0000 0.0000 [2 per cell]  4 Sb 3.11
Sm2 0.1023 0.7008 0.5000 [8 per cell]  5 Sb 3.10-3.15
Sb1 0.0976 0.7002 0.0000 [8 per cell]  6 Sm 3.10-3.15

***

Record 4
Sm2Sb | PBE | optimized geometry

Results
E (eV for the cell shown): -64.28
Magnetic moment (μB per cell): 0.0

a = 4.5172 Å, b = 4.5172 Å, c = 17.5172 Å
α = 90.00°, β = 90.00°, γ = 90.00°
Last column: nearest neighbours and their distance in Å.
Space group I4/mmm (No. 139)
Asymmetric unit:
Sm1 0.0000 0.0000 0.1787 [4 per cell]  5 Sb 3.20-3.27
Sm2 0.0000 0.5000 0.0000 [4 per cell]  4 Sm 3.19, 4 Sb 3.32
Sb1 0.0000 0.0000 0.3612 [4 per cell]  9 Sm 3.20-3.32